Entry 1:
# AgTe2Se (GGA-PBE, relaxed)
# Electronic total energy: -25.3 eV per cell
# Formation energy without anion corrections: -0.04 eV per formula unit
data_AgTe2Se
_symmetry_space_group_name_H-M 'I 4 m m'
_symmetry_Int_Tables_number 107
_symmetry_space_group_name_Hall 'I 4 -2'
_cell_length_a 4.2223
_cell_length_b 4.2223
_cell_length_c 11.9051
_cell_angle_alpha 90.00
_cell_angle_beta 90.00
_cell_angle_gamma 90.00
loop_
_atom_site_label
_atom_site_type_symbol
_atom_site_fract_x
_atom_site_fract_y
_atom_site_fract_z
_atom_site_occupancy
Ag1 Ag 0.0000 0.0000 0.0000 1
Te1 Te 0.0000 0.0000 0.2570 1
Te2 Te 0.0000 0.0000 0.5031 1
Se1 Se 0.0000 0.0000 0.7551 1

=====

Entry 2:
# AgTeSe2 (GGA-PBE, relaxed)
# Electronic total energy: -23.5 eV per cell
# Formation energy without anion corrections: 1.21 eV per formula unit
data_AgTeSe2
_symmetry_space_group_name_H-M 'C m m m'
_symmetry_Int_Tables_number 65
_symmetry_space_group_name_Hall '-C 2 2'
_cell_length_a 7.1242
_cell_length_b 7.1338
_cell_length_c 3.5252
_cell_angle_alpha 90.00
_cell_angle_beta 90.00
_cell_angle_gamma 90.00
loop_
_atom_site_label
_atom_site_type_symbol
_atom_site_fract_x
_atom_site_fract_y
_atom_site_fract_z
_atom_site_occupancy
Ag1 Ag 0.0000 0.0000 0.0000 1
Te1 Te 0.0000 0.5000 0.0000 1
Se1 Se 0.2500 0.2500 0.5000 1

=====

Entry 3:
# Ag2TeSe (GGA-PBE, relaxed)
# Electronic total energy: -23.2 eV per cell
# Formation energy without anion corrections: 0.73 eV per formula unit
data_Ag2TeSe
_symmetry_space_group_name_H-M 'C m m m'
_symmetry_Int_Tables_number 65
_symmetry_space_group_name_Hall '-C 2 2'
_cell_length_a 3.9380
_cell_length_b 5.7102
_cell_length_c 8.2087
_cell_angle_alpha 90.00
_cell_angle_beta 90.00
_cell_angle_gamma 90.00
loop_
_atom_site_label
_atom_site_type_symbol
_atom_site_fract_x
_atom_site_fract_y
_atom_site_fract_z
_atom_site_occupancy
Ag1 Ag 0.0000 0.0000 0.2322 1
Te1 Te 0.0000 0.5000 0.5000 1
Se1 Se 0.0000 0.5000 0.0000 1

=====

Entry 4:
# Ag2TeSe (GGA-PBE, relaxed)
# Electronic total energy: -23.2 eV per cell
# Formation energy without anion corrections: 0.71 eV per formula unit
data_Ag2TeSe
_symmetry_space_group_name_H-M 'I m m m'
_symmetry_Int_Tables_number 71
_symmetry_space_group_name_Hall '-I 2 2'
_cell_length_a 3.8453
_cell_length_b 5.8466
_cell_length_c 8.2619
_cell_angle_alpha 90.00
_cell_angle_beta 90.00
_cell_angle_gamma 90.00
loop_
_atom_site_label
_atom_site_type_symbol
_atom_site_fract_x
_atom_site_fract_y
_atom_site_fract_z
_atom_site_occupancy
Ag1 Ag 0.0000 0.0000 0.2378 1
Te1 Te 0.0000 0.5000 0.0000 1
Se1 Se 0.0000 0.5000 0.5000 1